Entry from Alexandria: a relaxed structure of FePbI2 (PBE).

Properties
For the raw formation energy, the calculation gives 0.296 eV/atom. The calculation puts the total moment at 0.51 μB/atom. As for the distance to the lowest polymorph of the same formula: 0.064 eV/atom. As for the symmetry: I-42d (122).

Unit cell a=7.379 b=7.379 c=7.525 alpha=60.64 beta=60.64 gamma=90.00
Fractional coordinates of all 8 atoms:
I (0.206, 0.625, 0.250)
I (0.544, 0.125, 0.250)
I (0.875, 0.794, 0.750)
I (0.375, 0.456, 0.750)
Fe (0.500, 0.500, 0.000)
Fe (0.250, 0.750, 0.500)
Pb (0.000, 0.000, 0.000)
Pb (0.750, 0.250, 0.500)